## w
Material: Ti2GaAg2
Method: DFT, PBE
State: relaxed

Cell lengths 7.561, 7.561, 3.228 Å; angles 90.00, 90.00, 90.00 degrees
Element x y z (fractional)
Ti 0.165 0.335 0.000
Ti 0.335 0.835 0.000
Ti 0.665 0.165 0.000
Ti 0.835 0.665 0.000
Ga 0.000 0.000 0.000
Ga 0.500 0.500 0.000
Ag 0.132 0.632 0.500
Ag 0.368 0.132 0.500
Ag 0.632 0.868 0.500
Ag 0.868 0.368 0.500

Output
For the total magnetization, the calculation gives 0.186 μB/atom.

## x
Material: Ti2GaAg2
Method: DFT, PBE
State: relaxed

Cell lengths 7.361, 7.361, 3.283 Å; angles 90.00, 90.00, 90.00 degrees
Element x y z (fractional)
Ti 0.168 0.332 0.000
Ti 0.332 0.832 0.000
Ti 0.668 0.168 0.000
Ti 0.832 0.668 0.000
Ga 0.000 0.000 0.500
Ga 0.500 0.500 0.500
Ag 0.131 0.631 0.500
Ag 0.369 0.131 0.500
Ag 0.631 0.869 0.500
Ag 0.869 0.369 0.500

Output
For the total magnetization, the calculation gives 0.204 μB/atom.

What is the stability order? It is x, w, from most stable to least stable.

## w
Material: TiGaAg3
Method: DFT, PBE
State: relaxed

Cell lengths 4.788, 4.788, 4.788 Å; angles 90.00, 90.00, 90.00 degrees
Element x y z (fractional)
Ti 0.000 0.000 0.000
Ga 0.500 0.500 0.500
Ag 0.000 0.500 0.500
Ag 0.500 0.000 0.500
Ag 0.500 0.500 0.000

Output
For the total magnetization, the calculation gives 0.424 μB/atom.

## x
Material: TiGaAg3
Method: DFT, PBE
State: relaxed

Cell lengths 5.127, 5.127, 5.127 Å; angles 90.00, 90.00, 90.00 degrees
Element x y z (fractional)
Ti 0.000 0.000 0.000
Ga 0.500 0.500 0.500
Ag 0.000 0.000 0.500
Ag 0.000 0.500 0.000
Ag 0.500 0.000 0.000

Output
For the total magnetization, the calculation gives 0.313 μB/atom.

What is the stability order? It is w, x, from most stable to least stable.

## w
Material: Tl2GaAg2
Method: DFT, PBE
State: relaxed

Cell lengths 8.677, 8.677, 8.677 Å; angles 154.13, 154.13, 36.91 degrees
Element x y z (fractional)
Tl 0.103 0.103 0.000
Tl 0.897 0.897 0.000
Ga 0.500 0.500 0.000
Ag 0.250 0.750 0.500
Ag 0.750 0.250 0.500

Output
For the total magnetization, the calculation gives 0.000 μB/atom.

## x
Material: Tl2GaAg2
Method: DFT, PBE
State: relaxed

Cell lengths 7.450, 7.450, 7.450 Å; angles 145.55, 145.55, 49.51 degrees
Element x y z (fractional)
Tl 0.250 0.750 0.500
Tl 0.750 0.250 0.500
Ga 0.000 0.000 0.000
Ag 0.401 0.401 0.000
Ag 0.599 0.599 0.000

Output
For the total magnetization, the calculation gives 0.000 μB/atom.

What is the stability order? It is w, x, from most stable to least stable.

## w
Material: Tl2GaAg2
Method: DFT, PBE
State: relaxed

Cell lengths 8.191, 8.191, 3.627 Å; angles 90.00, 90.00, 90.00 degrees
Element x y z (fractional)
Tl 0.171 0.329 0.000
Tl 0.329 0.829 0.000
Tl 0.671 0.171 0.000
Tl 0.829 0.671 0.000
Ga 0.000 0.000 0.000
Ga 0.500 0.500 0.000
Ag 0.126 0.626 0.500
Ag 0.374 0.126 0.500
Ag 0.626 0.874 0.500
Ag 0.874 0.374 0.500

Output
For the total magnetization, the calculation gives 0.000 μB/atom.

## x
Material: Tl2GaAg2
Method: DFT, PBE
State: relaxed

Cell lengths 7.183, 7.183, 4.673 Å; angles 90.00, 90.00, 90.00 degrees
Element x y z (fractional)
Tl 0.167 0.333 0.000
Tl 0.333 0.833 0.000
Tl 0.667 0.167 0.000
Tl 0.833 0.667 0.000
Ga 0.000 0.000 0.500
Ga 0.500 0.500 0.500
Ag 0.143 0.643 0.500
Ag 0.357 0.143 0.500
Ag 0.643 0.857 0.500
Ag 0.857 0.357 0.500

Output
For the total magnetization, the calculation gives 0.000 μB/atom.

What is the stability order? It is x, w, from most stable to least stable.

## w
Material: TlGaAg3
Method: DFT, PBE
State: relaxed

Cell lengths 5.002, 5.002, 5.002 Å; angles 90.00, 90.00, 90.00 degrees
Element x y z (fractional)
Tl 0.000 0.000 0.000
Ga 0.500 0.500 0.500
Ag 0.000 0.500 0.500
Ag 0.500 0.000 0.500
Ag 0.500 0.500 0.000

Output
For the total magnetization, the calculation gives 0.000 μB/atom.

## x
Material: TlGaAg3
Method: DFT, PBE
State: relaxed

Cell lengths 5.332, 5.332, 5.332 Å; angles 90.00, 90.00, 90.00 degrees
Element x y z (fractional)
Tl 0.000 0.000 0.000
Ga 0.500 0.500 0.500
Ag 0.000 0.000 0.500
Ag 0.000 0.500 0.000
Ag 0.500 0.000 0.000

Output
For the total magnetization, the calculation gives 0.000 μB/atom.

What is the stability order? It is w, x, from most stable to least stable.

## w
Material: Tm6Ga2Ag
Method: DFT, PBE
State: relaxed

Cell lengths 8.443, 8.443, 8.443 Å; angles 112.00, 111.13, 105.36 degrees
Element x y z (fractional)
Tm 0.029 0.824 0.205
Tm 0.249 0.552 0.304
Tm 0.249 0.945 0.696
Tm 0.274 0.319 0.593
Tm 0.274 0.681 0.954
Tm 0.381 0.176 0.205
Tm 0.619 0.824 0.795
Tm 0.726 0.319 0.046
Tm 0.726 0.681 0.407
Tm 0.751 0.055 0.304
Tm 0.751 0.448 0.696
Tm 0.971 0.176 0.795
Ga 0.000 0.146 0.146
Ga 0.000 0.854 0.854
Ga 0.377 0.377 0.000
Ga 0.623 0.623 0.000
Ag 0.000 0.500 0.500
Ag 0.500 0.000 0.500

Output
For the total magnetization, the calculation gives 0.000 μB/atom.

## x
Material: Tm6Ga2Ag
Method: DFT, PBE
State: relaxed

Cell lengths 8.541, 8.541, 8.541 Å; angles 146.93, 131.83, 59.67 degrees
Element x y z (fractional)
Tm 0.081 0.833 0.248
Tm 0.251 0.500 0.751
Tm 0.416 0.167 0.248
Tm 0.584 0.833 0.752
Tm 0.749 0.500 0.249
Tm 0.919 0.167 0.752
Ga 0.333 0.333 0.000
Ga 0.667 0.667 0.000
Ag 0.000 0.000 0.000

Output
For the total magnetization, the calculation gives 0.000 μB/atom.

What is the stability order? It is w, x, from most stable to least stable.